Record 1
DFT (PBE) results for BaNaTbSe3 after structural relaxation.

Results
raw total energy = -4.735 eV/atom
theoretical density = 5.24 Mg/m³
space-group type = P2_1/m
excess energy over the best structure of this formula in the dataset = 0 meV/atom

Cell: 8.730 4.377 9.638 Å, 90.00 106.74 90.00°
Fractional positions:
Ba (0.222, 0.250, 0.250)
Ba (0.778, 0.750, 0.750)
Na (0.909, 0.750, 0.413)
Na (0.091, 0.250, 0.587)
Se (0.895, 0.750, 0.125)
Se (0.457, 0.750, 0.156)
Se (0.744, 0.250, 0.470)
Se (0.256, 0.750, 0.530)
Se (0.543, 0.250, 0.844)
Se (0.105, 0.250, 0.875)
Tb (0.679, 0.250, 0.152)
Tb (0.321, 0.750, 0.848)

***

Record 2
DFT (PBE) results for Y3Tm2Lu2Ni2Te2 after structural relaxation.

Results
raw total energy = -5.659 eV/atom
theoretical density = 7.81 Mg/m³
space-group type = Imm2
excess energy over the best structure of this formula in the dataset = 20 meV/atom

Cell: 9.288 9.288 9.288 Å, 156.17 66.90 118.53°
Fractional positions:
Lu (0.261, 0.895, 0.366)
Lu (0.529, 0.895, 0.634)
Ni (0.662, 0.402, 0.260)
Ni (0.141, 0.402, 0.740)
Te (0.246, 0.246, 0.000)
Te (0.638, 0.138, 0.500)
Tm (0.894, 0.747, 0.147)
Tm (0.600, 0.747, 0.853)
Y (0.285, 0.100, 0.185)
Y (0.976, 0.476, 0.500)
Y (0.915, 0.100, 0.815)

***

Record 3
DFT (PBE) results for Hf2Mo4P3N3 after structural relaxation.

Results
raw total energy = -9.380 eV/atom
theoretical density = 9.13 Mg/m³
space-group type = C2/c

Cell: 5.643 5.643 11.955 Å, 103.04 103.04 60.13°
Fractional positions:
Hf (0.348, 0.536, 0.103)
Hf (0.464, 0.652, 0.397)
Hf (0.536, 0.348, 0.603)
Hf (0.652, 0.464, 0.897)
Mo (0.690, 0.897, 0.097)
Mo (0.074, 0.177, 0.098)
Mo (0.823, 0.926, 0.402)
Mo (0.103, 0.310, 0.403)
Mo (0.897, 0.690, 0.597)
Mo (0.177, 0.074, 0.598)
Mo (0.926, 0.823, 0.902)
Mo (0.310, 0.103, 0.903)
N (0.000, 0.500, 0.000)
N (0.653, 0.196, 0.002)
N (0.804, 0.347, 0.498)
N (0.500, 0.000, 0.500)
N (0.196, 0.653, 0.502)
N (0.347, 0.804, 0.998)
P (0.775, 0.578, 0.247)
P (0.057, 0.943, 0.250)
P (0.422, 0.225, 0.253)
P (0.578, 0.775, 0.747)
P (0.943, 0.057, 0.750)
P (0.225, 0.422, 0.753)